Density functional theory data (meta-GGA SCAN) for a crystal of Co2Os relaxed with PBEsol.

Summary:
- M_tot: 3.778 μB per formula unit
- Space-group type: I4/mcm, No. 140
- Energy relative to the elements: 603.5 meV per atom
- Fermi-level density of states: 2.490 states/eV/f.u.

Cell lengths 4.651, 4.651, 4.651 Å; angles 105.72, 105.72, 117.27 degrees
Site moments in Bohr magnetons follow the coordinates.
Sites, in units of the cell vectors:
Co (0.136, 0.636, 0.772)  1.79
Co (0.636, 0.864, 0.500)  1.79
Co (0.364, 0.136, 0.500)  1.79
Co (0.864, 0.364, 0.228)  1.79
Os (0.750, 0.750, 0.000)  0.22
Os (0.250, 0.250, 0.000)  0.22